(1)
14
Lattice="-3.908 5.409 -1.373 -3.330 -1.289 4.401 4.928 2.248 4.387" Properties=species:S:1:pos:R:3 comment="Sb2Pd4S, relaxed, DFT PBE" polymorph_energy_mev_per_atom=0.0 total_energy_ev_per_cell=-69.737 density_g_cm3=9.0 pbc="T T T"
Sb -2.548 4.299 4.805
Pd 0.372 3.449 5.012
Sb -5.314 3.646 2.521
Pd -2.682 2.920 2.403
S -2.589 1.022 3.814
S 0.279 5.346 3.601
Pd -1.671 5.763 2.248
Pd -3.619 4.859 0.509
Sb 0.238 2.069 2.610
Pd 1.309 1.509 6.906
Pd -1.228 2.829 7.126
Pd -0.640 0.606 5.167
Pd -1.082 3.539 0.289
Sb 3.004 2.723 4.894

(2)
11
Lattice="-1.866 -2.642 5.136 4.332 2.062 3.249 -2.488 4.765 2.162" Properties=species:S:1:pos:R:3 comment="Sb2Pd7S2, relaxed, DFT PBE" total_energy_ev_per_cell=-55.298 density_g_cm3=8.8 pbc="T T T"
Sb 2.010 1.291 5.596
S 0.365 1.598 1.689
Pd 2.211 3.972 5.680
Pd -0.396 5.006 5.265
Pd 0.000 0.000 0.000
Pd -2.233 0.213 4.867
Pd 0.375 -0.821 5.283
Pd 0.403 2.572 3.869
Pd -0.425 1.612 6.678
Sb -2.032 2.894 4.952
S -0.386 2.586 8.858

(3)
5
Lattice="5.127 0.000 0.000 0.000 5.127 0.000 0.000 0.000 5.127" Properties=species:S:1:pos:R:3 comment="Sb3PdS, relaxed, DFT PBE" polymorph_energy_mev_per_atom=96.0 total_energy_ev_per_cell=-18.408 density_g_cm3=6.2 pbc="T T T"
Pd 2.564 2.564 2.564
Sb 0.000 0.000 2.564
S 0.000 0.000 0.000
Sb 2.564 0.000 0.000
Sb 0.000 2.564 0.000

(4)
16
Lattice="-2.674 4.790 0.899 -0.021 -1.551 8.198 6.636 3.574 0.693" Properties=species:S:1:pos:R:3 comment="Sb3Pd4S, relaxed, DFT PBE" total_energy_ev_per_cell=-78.172 density_g_cm3=7.8 pbc="T T T"
Sb 4.773 1.756 5.801
Sb 3.232 1.662 1.818
Sb 0.124 2.806 3.566
Pd 3.123 4.008 6.422
S -0.378 0.494 1.068
Pd -1.867 3.132 1.727
Pd 1.150 0.341 2.903
S 1.587 3.482 8.179
Sb 1.686 0.094 5.479
Sb 3.673 4.718 3.937
Pd 5.270 2.560 3.333
Sb -1.437 1.265 7.232
Pd -0.058 -1.239 6.948
Pd 2.772 1.390 7.622
Pd 1.937 4.016 2.073
Pd 0.608 2.653 6.159

(5)
12
Lattice="3.975 0.000 0.000 0.000 4.169 0.000 0.000 -2.084 13.427" Properties=species:S:1:pos:R:3 comment="Sb3Pd7S2, relaxed, DFT PBE" total_energy_ev_per_cell=-60.438 density_g_cm3=8.8 pbc="T T T"
Pd 0.000 0.000 0.000
S 0.000 0.000 3.341
Sb 1.987 2.084 0.000
Pd 0.000 2.084 2.024
Pd 1.987 0.000 2.000
Pd 0.000 0.000 5.760
Pd 0.000 0.000 11.403
Pd 0.000 2.084 7.667
S 0.000 2.084 10.086
Pd 1.987 2.084 11.427
Sb 1.987 0.000 7.924
Sb 1.987 2.084 5.502

(6)
4
Lattice="3.683 0.000 0.000 1.841 3.189 0.000 1.841 1.063 7.583" Properties=species:S:1:pos:R:3 comment="Sb2PdS, relaxed, DFT PBE" total_energy_ev_per_cell=-17.990 density_g_cm3=7.1 pbc="T T T"
Sb 1.841 1.063 1.695
Pd 5.524 3.189 7.543
Sb 1.841 1.063 5.762
S 3.683 2.126 3.958

(7)
4
Lattice="4.383 0.000 0.000 2.191 3.796 0.000 2.191 1.265 6.119" Properties=species:S:1:pos:R:3 comment="SbPd2S, relaxed, DFT PBE" total_energy_ev_per_cell=-18.577 density_g_cm3=6.0 pbc="T T T"
Pd 2.191 1.265 3.878
Sb 4.383 2.530 3.059
S 0.000 0.000 0.000
Pd 6.574 3.796 2.240

(8)
12
Lattice="5.565 -0.230 0.000 -1.175 5.441 0.000 -2.195 -2.606 7.132" Properties=species:S:1:pos:R:3 comment="SbPd4S, relaxed, DFT PBE" total_energy_ev_per_cell=-60.823 density_g_cm3=9.0 pbc="T T T"
Sb 0.803 2.663 1.746
Pd -0.327 1.048 3.636
Pd 3.110 -1.163 3.636
Pd -0.915 3.768 3.497
Sb 1.391 -0.058 5.386
Pd -0.592 1.295 6.578
S 4.174 -0.173 1.748
S -1.979 2.778 5.384
Pd 2.522 1.558 3.497
Pd 4.385 3.786 0.554
Pd -2.190 -1.180 6.578
Pd 2.787 1.311 0.554

(9)
80
Lattice="-3.877 -1.407 -12.739 3.850 -11.879 4.832 -10.214 4.683 7.282" Properties=species:S:1:pos:R:3 comment="Sb5Pd3S12, relaxed, DFT PBE" total_energy_ev_per_cell=-329.598 density_g_cm3=4.7 pbc="T T T"
S -4.765 0.239 -2.861
S -3.519 -5.048 1.702
Sb -8.813 -1.274 -5.387
Sb -11.363 1.557 -2.578
S -5.096 -4.592 -4.906
Sb 1.925 -5.940 2.416
S -2.491 -10.512 -4.236
S -0.188 -11.958 -5.586
Sb -1.428 -7.329 4.762
Sb -4.332 -6.724 -3.803
S -7.750 1.909 3.612
Sb -1.594 -3.460 2.040
Pd -1.782 -9.555 -6.612
S -6.849 0.622 -0.257
S -4.947 -4.526 -8.259
S -10.566 -4.083 -1.427
S -2.542 -2.958 -5.055
S -3.803 -2.213 -1.350
S -2.113 -1.152 1.177
S -7.305 -6.350 7.689
S -5.145 -4.011 4.281
Pd -8.640 -1.822 -0.688
Sb -5.107 2.341 3.641
Pd -4.950 -6.510 3.398
Pd -8.459 0.952 5.988
S -6.431 -2.215 0.738
S -6.123 -8.494 -3.829
S 0.606 -7.854 1.085
S 0.325 -4.521 0.802
S -3.392 -9.226 -0.367
S -9.353 -3.454 1.284
Sb -1.608 -10.103 -1.913
Sb 0.000 0.000 0.000
S -10.846 -0.749 -1.710
S -2.314 -7.734 2.440
S -3.351 -6.271 5.997
Pd -5.464 -1.545 -8.722
S -2.935 -2.253 -8.313
Pd -1.601 -6.781 0.064
Sb -5.120 -4.302 -0.312
Sb -1.938 -0.704 -6.369
S -8.128 -7.452 -1.801
S -6.976 -1.344 7.365
Sb -3.182 -3.598 6.057
S 0.182 -8.331 -1.883
Pd -5.923 -8.523 -0.775
S -6.890 -2.332 -6.621
S -12.132 1.512 -4.976
S -6.721 -3.555 -2.326
Sb -7.045 1.638 -2.728
Sb -1.768 -2.912 -2.659
S -10.053 3.355 4.962
S -0.887 -5.149 -1.909
Pd -2.741 -4.925 -6.832
S -0.658 -9.459 5.863
Pd -5.291 -2.093 -4.023
S -4.118 -0.109 3.204
Pd -4.776 -7.058 8.097
Sb -8.646 -5.143 -2.665
S -7.942 -1.183 4.491
Sb 1.123 -10.161 1.954
Pd -4.318 -0.081 0.150
S -3.265 -7.259 -7.989
Pd -7.500 -3.679 6.207
S -3.809 -6.388 -1.362
S -7.927 -0.869 -3.065
S 1.891 -10.116 4.351
S -2.298 -7.420 -5.116
S -10.422 -0.272 1.258
Sb -0.014 -6.643 -3.953
S -7.699 -5.645 4.430
S -5.476 -8.842 2.236
S -6.437 -6.390 0.726
S -5.294 -4.077 7.634
Sb -8.633 1.500 1.289
Sb -5.909 -1.880 3.179
S -4.580 -0.463 -5.999
S -5.660 -8.140 5.374
Sb -8.473 -5.691 2.034
S -9.583 0.856 -6.488

(10)
4
Lattice="-1.691 -2.861 -2.238 3.989 0.319 0.171 0.094 -4.040 5.084" Properties=species:S:1:pos:R:3 comment="SbPd2S, relaxed, DFT PBE" total_energy_ev_per_cell=-19.419 density_g_cm3=6.8 pbc="T T T"
Pd 0.731 -2.035 -1.452
S 0.798 -4.601 1.778
Sb 2.644 -1.767 0.347
Pd 2.687 -3.402 2.405

(11)
7
Lattice="4.534 0.000 0.000 0.000 4.534 0.000 2.267 2.267 7.022" Properties=species:S:1:pos:R:3 comment="Sb2Pd4S, relaxed, DFT PBE" polymorph_energy_mev_per_atom=220.9 total_energy_ev_per_cell=-33.322 density_g_cm3=8.1 pbc="T T T"
S 0.000 0.000 0.000
Sb 4.534 4.534 4.939
Pd 0.000 2.267 0.000
Pd 2.267 2.267 4.686
Pd 2.267 0.000 0.000
Pd 4.534 4.534 2.337
Sb 2.267 2.267 2.083

(12)
8
Lattice="-1.175 2.138 5.512 5.414 -1.869 1.879 4.590 5.664 2.077" Properties=species:S:1:pos:R:3 comment="Sb2PdS, relaxed, DFT PBE" total_energy_ev_per_cell=-35.294 density_g_cm3=5.6 pbc="T T T"
S 6.062 1.965 3.826
Pd 0.000 0.000 0.000
Sb 4.905 4.393 4.286
S 2.120 0.134 3.696
Sb 1.062 2.569 4.329
Pd 2.767 3.968 5.643
Sb 7.279 4.439 8.069
Sb 4.412 0.465 2.253

(13)
9
Lattice="-3.061 -1.142 0.126 1.507 -3.336 6.337 -2.561 6.860 -0.005" Properties=species:S:1:pos:R:3 comment="Sb2Pd6S, relaxed, DFT PBE" total_energy_ev_per_cell=-46.247 density_g_cm3=10.0 pbc="T T T"
Pd 0.412 -0.911 1.731
Pd -0.765 2.558 4.600
Pd -0.701 1.877 0.001
S -0.025 -3.904 6.395
Pd -0.597 -2.637 3.987
Sb 0.152 0.061 4.222
Pd -3.114 3.671 0.060
Sb -1.205 3.463 2.110
Pd -1.932 0.774 2.480

(14)
5
Lattice="-2.061 4.213 -2.243 -1.383 -2.866 -4.111 -4.568 -1.033 2.257" Properties=species:S:1:pos:R:3 comment="Sb3PdS, relaxed, DFT PBE" polymorph_energy_mev_per_atom=0.0 total_energy_ev_per_cell=-18.888 density_g_cm3=6.0 pbc="T T T"
Sb -2.284 -0.516 1.129
S -4.006 0.157 -2.048
Sb -1.031 2.106 -1.122
Sb -0.692 -1.433 -2.055
Pd 0.000 0.000 0.000

(15)
13
Lattice="-5.173 2.143 -1.027 0.431 -2.389 -7.157 -0.250 -4.650 5.527" Properties=species:S:1:pos:R:3 comment="Sb2Pd8S3, relaxed, DFT PBE" total_energy_ev_per_cell=-64.505 density_g_cm3=8.2 pbc="T T T"
Pd -3.147 -2.312 3.044
S -2.587 1.071 -0.513
S 0.301 -1.669 -5.000
S 0.130 -0.720 -2.157
Pd -1.846 -2.584 -5.701
Sb -1.710 -2.960 0.885
Pd -2.112 -1.110 -1.285
Pd -0.550 -2.930 -3.046
Pd -4.871 0.837 -0.573
Pd -2.881 -3.786 -1.372
Pd -0.121 -5.733 -2.084
Pd -4.442 -1.966 0.388
Sb -3.283 -1.936 -3.542

(16)
11
Lattice="4.451 0.000 0.000 0.000 5.961 -0.028 -2.225 -2.584 6.915" Properties=species:S:1:pos:R:3 comment="Sb2Pd8S, relaxed, DFT PBE" total_energy_ev_per_cell=-57.350 density_g_cm3=10.2 pbc="T T T"
Pd 2.225 2.858 4.172
Pd 0.000 4.549 0.189
Pd 2.225 -1.172 6.698
Pd 0.000 0.519 2.715
Pd 0.000 -1.414 4.820
Pd 0.000 1.470 5.451
Sb 2.225 0.218 4.458
Pd 2.225 1.907 1.436
Sb 0.000 3.159 2.429
S 2.225 0.000 0.000
Pd 2.225 4.791 2.067

(17)
5
Lattice="-2.513 0.034 4.530 3.864 -2.689 2.164 2.363 4.422 1.277" Properties=species:S:1:pos:R:3 comment="SbTe2PdS, relaxed, DFT PBE" polymorph_energy_mev_per_atom=98.4 total_energy_ev_per_cell=-16.257 density_g_cm3=6.2 pbc="T T T"
Te 1.932 -1.345 1.082
Sb 1.181 2.211 0.639
Te -1.257 0.017 2.265
Pd 1.856 0.883 3.986
S 0.000 0.000 0.000

(18)
5
Lattice="-0.393 -2.905 -4.282 5.172 -0.357 -0.233 -0.167 -4.354 2.969" Properties=species:S:1:pos:R:3 comment="Sb2TePdS, relaxed, DFT PBE" polymorph_energy_mev_per_atom=0.0 total_energy_ev_per_cell=-17.852 density_g_cm3=6.0 pbc="T T T"
Sb 2.586 -0.178 -0.116
Te -0.083 -2.177 1.485
S 2.306 -3.808 -0.773
Sb -0.197 -1.452 -2.141
Pd 0.000 0.000 0.000

(19)
5
Lattice="5.169 0.000 0.000 0.000 5.169 0.000 0.000 0.000 5.129" Properties=species:S:1:pos:R:3 comment="Sb2TePdS, relaxed, DFT PBE" polymorph_energy_mev_per_atom=109.7 total_energy_ev_per_cell=-17.303 density_g_cm3=6.2 pbc="T T T"
Sb 0.000 2.584 0.000
Te 0.000 0.000 2.565
Pd 2.584 2.584 2.565
Sb 2.584 0.000 0.000
S 0.000 0.000 0.000

(20)
5
Lattice="5.254 0.000 0.000 0.000 5.254 0.000 0.000 0.000 5.191" Properties=species:S:1:pos:R:3 comment="SbTe2PdS, relaxed, DFT PBE" polymorph_energy_mev_per_atom=0.0 total_energy_ev_per_cell=-16.749 density_g_cm3=6.0 pbc="T T T"
Te 0.000 2.627 0.000
Pd 0.000 0.000 0.000
S 2.627 2.627 2.595
Te 2.627 0.000 0.000
Sb 0.000 0.000 2.595